No. 1
First-principles (PBE) data for a geometry-optimized Ac4Tl3Hg structure, as listed in Alexandria via LeMat-Bulk.

total DFT energy (no corrections) = -3.3322 eV/atom
relative energy among the computed polymorphs = 22.8 meV per atom

abc: 4.8607 4.8426 12.3745
angles: 90.00 90.00 90.00
Closest atoms and distances in Å follow each position.
Atoms (fractional coordinates):
Ac  0.5000  0.5000  0.3588  1 Hg 3.40, 6 Tl 3.50-3.69
Ac  0.0000  0.5000  0.8664  5 Tl 3.49-3.51, 2 Hg 3.63
Ac  0.0000  0.0000  0.1355  3 Tl 3.48-3.63, 4 Hg 3.49
Ac  0.5000  0.0000  0.6385  7 Tl 3.45-3.67
Tl  0.0000  0.5000  0.5828  2 Tl 3.18, 5 Ac 3.50-3.51
Tl  0.0000  0.0000  0.4164  2 Tl 3.18, 5 Ac 3.48-3.50
Tl  0.5000  0.0000  0.9175  2 Hg 3.18, 5 Ac 3.45-3.49
Hg  0.5000  0.5000  0.0841  2 Tl 3.18, 5 Ac 3.40-3.49

=====

No. 2
First-principles (PBE) data for a geometry-optimized NbIn2GaPd structure, as listed in Alexandria via LeMat-Bulk.

total DFT energy (no corrections) = -3.9597 eV/atom

abc: 5.0371 4.5443 5.0371
angles: 90.00 90.00 90.00
Closest atoms and distances in Å follow each position.
Atoms (fractional coordinates):
Nb  0.5000  0.5000  0.5000  8 In 3.39, 4 Pd 3.56
Ga  0.0000  0.0000  0.0000  2 Pd 2.27, 4 In 2.52
Pd  0.0000  0.5000  0.0000  2 Ga 2.27
In  0.0000  0.0000  0.5000  2 Ga 2.52
In  0.5000  0.0000  0.0000  2 Ga 2.52

=====

No. 3
First-principles (PBE) data for a geometry-optimized Pr3NdEr5 structure, as listed in Alexandria via LeMat-Bulk.

total DFT energy (no corrections) = -4.2877 eV/atom

abc: 9.3519 9.3519 12.3963
angles: 53.46 53.46 51.87
Closest atoms and distances in Å follow each position.
Atoms (fractional coordinates):
Pr  0.7024  0.7024  0.6954  1 Nd 3.26, 4 Er 3.31-3.35, 1 Pr 3.57
Pr  0.5575  0.5575  0.5786  5 Er 3.42-3.83, 2 Pr 3.54-3.57, 1 Nd 3.59
Pr  0.0000  0.0000  0.0000  2 Er 2.63
Pr  0.0000  0.0000  0.5000  6 Er 3.70-3.84, 2 Pr 3.86
Pr  0.2976  0.2976  0.3046  1 Nd 3.26, 4 Er 3.31-3.35, 1 Pr 3.57
Pr  0.4425  0.4425  0.4214  5 Er 3.42-3.83, 2 Pr 3.54-3.57, 1 Nd 3.59
Nd  0.1585  0.1585  0.6515  3 Pr 3.24-3.59, 1 Er 3.44
Nd  0.8415  0.8415  0.3485  3 Pr 3.24-3.59, 1 Er 3.44
Er  0.9134  0.5173  0.2157  5 Er 3.24-3.60, 1 Pr 3.35
Er  0.3210  0.6790  0.0000  1 Pr 2.63, 1 Er 2.93
Er  0.8860  0.8860  0.8773  1 Pr 3.14, 1 Er 3.15, 1 Nd 3.44
Er  0.6400  0.6400  0.0543  5 Er 3.15-3.40, 1 Pr 3.42
Er  0.3600  0.3600  0.9457  5 Er 3.15-3.40, 1 Pr 3.42
Er  0.1140  0.1140  0.1227  1 Pr 3.14, 1 Er 3.15, 1 Nd 3.44
Er  0.5173  0.9134  0.2157  5 Er 3.24-3.60, 1 Pr 3.35
Er  0.6790  0.3210  0.0000  1 Pr 2.63, 1 Er 2.93
Er  0.0866  0.4827  0.7843  5 Er 3.24-3.60, 1 Pr 3.35
Er  0.4827  0.0866  0.7843  5 Er 3.24-3.60, 1 Pr 3.35

=====

No. 4
First-principles (PBE) data for a geometry-optimized YbPb3 structure, as listed in Alexandria via LeMat-Bulk.

total DFT energy (no corrections) = -3.5057 eV/atom

abc: 4.9123 4.9123 4.9123
angles: 90.00 90.00 90.00
Closest atoms and distances in Å follow each position.
Atoms (fractional coordinates):
Pb  0.5000  0.5000  0.0000  8 Pb 3.47, 4 Yb 3.47
Pb  0.5000  0.0000  0.5000  8 Pb 3.47, 4 Yb 3.47
Pb  0.0000  0.5000  0.5000  8 Pb 3.47, 4 Yb 3.47
Yb  0.0000  0.0000  0.0000  12 Pb 3.47

=====

No. 5
First-principles (PBE) data for a geometry-optimized AgGePt3 structure, as listed in Alexandria via LeMat-Bulk.

total DFT energy (no corrections) = -3.7096 eV/atom
relative energy among the computed polymorphs = 1537.9 meV per atom

abc: 4.8949 4.8949 4.8949
angles: 90.00 90.00 90.00
Closest atoms and distances in Å follow each position.
Atoms (fractional coordinates):
Ge  0.5000  0.5000  0.5000  12 Pt 3.46
Ag  0.0000  0.0000  0.0000  6 Pt 2.45
Pt  0.0000  0.5000  0.0000  2 Ag 2.45
Pt  0.0000  0.0000  0.5000  2 Ag 2.45
Pt  0.5000  0.0000  0.0000  2 Ag 2.45

=====

No. 6
First-principles (PBE) data for a geometry-optimized SrLa2In structure, as listed in Alexandria via LeMat-Bulk.

total DFT energy (no corrections) = -3.7438 eV/atom

abc: 5.1934 5.1934 5.1438
angles: 90.00 90.00 90.00
Closest atoms and distances in Å follow each position.
Atoms (fractional coordinates):
In  0.0000  0.5000  0.5000  8 La 3.65, 4 Sr 3.67
La  0.0000  0.0000  0.0000  4 In 3.65, 4 Sr 3.65, 4 La 3.67
La  0.5000  0.5000  0.0000  4 Sr 3.65, 4 In 3.65, 4 La 3.67
Sr  0.5000  0.0000  0.5000  8 La 3.65, 4 In 3.67

=====

No. 7
First-principles (PBE) data for a geometry-optimized Ce2HfScP4 structure, as listed in Alexandria via LeMat-Bulk.

total DFT energy (no corrections) = -7.6841 eV/atom

abc: 3.8963 6.7535 6.7476
angles: 109.45 90.00 90.00
Closest atoms and distances in Å follow each position.
Atoms (fractional coordinates):
Ce  0.5000  0.0000  0.5000  6 P 2.83
Ce  0.0000  0.5000  0.5000  6 P 2.85
Hf  0.0000  0.0000  0.0000  6 P 2.67
Sc  0.5000  0.5000  0.0000  6 P 2.68
P  0.5000  0.2407  0.2274  2 Hf 2.67, 1 Sc 2.68, 3 Ce 2.83-2.85
P  0.5000  0.7593  0.7726  2 Hf 2.67, 1 Sc 2.68, 3 Ce 2.83-2.85
P  0.0000  0.2551  0.7719  1 Hf 2.67, 2 Sc 2.68, 3 Ce 2.83-2.85
P  0.0000  0.7449  0.2281  1 Hf 2.67, 2 Sc 2.68, 3 Ce 2.83-2.85

=====

No. 8
First-principles (PBE) data for a geometry-optimized Ti3CO3 structure, as listed in Alexandria via LeMat-Bulk.

total DFT energy (no corrections) = -9.1370 eV/atom

abc: 3.0088 6.0737 8.3428
angles: 92.33 90.00 90.00
Closest atoms and distances in Å follow each position.
Atoms (fractional coordinates):
Ti  0.2500  0.3683  0.6374  4 O 1.99-2.17, 2 C 2.08
Ti  0.7500  0.6317  0.3626  4 O 1.99-2.17, 2 C 2.08
Ti  0.2500  0.8871  0.6288  3 O 2.07-2.19, 3 C 2.11-2.17
Ti  0.7500  0.1129  0.3712  3 O 2.07-2.19, 3 C 2.11-2.17
Ti  0.2500  0.8500  0.1181  5 O 1.96-2.09, 1 C 2.09
Ti  0.7500  0.1500  0.8819  5 O 1.96-2.09, 1 C 2.09
C  0.2500  0.8687  0.3691  6 Ti 2.08-2.17
C  0.7500  0.1313  0.6309  6 Ti 2.08-2.17
O  0.2500  0.3756  0.3820  5 Ti 2.13-2.19
O  0.7500  0.6244  0.6180  5 Ti 2.13-2.19
O  0.2500  0.9112  0.8770  4 Ti 2.06-2.09
O  0.7500  0.0888  0.1230  4 Ti 2.06-2.09
O  0.2500  0.3554  0.8752  3 Ti 1.96-1.99
O  0.7500  0.6446  0.1248  3 Ti 1.96-1.99

=====

No. 9
First-principles (PBE) data for a geometry-optimized Cd3PdI structure, as listed in Alexandria via LeMat-Bulk.

total DFT energy (no corrections) = -1.9866 eV/atom
relative energy among the computed polymorphs = 0.0 meV per atom

abc: 5.3085 5.3085 5.3085
angles: 90.00 90.00 90.00
Closest atoms and distances in Å follow each position.
Atoms (fractional coordinates):
I  0.5000  0.5000  0.5000  12 Cd 3.75
Pd  0.0000  0.0000  0.0000  6 Cd 2.65
Cd  0.0000  0.5000  0.0000  2 Pd 2.65
Cd  0.0000  0.0000  0.5000  2 Pd 2.65
Cd  0.5000  0.0000  0.0000  2 Pd 2.65

=====

No. 10
First-principles (PBE) data for a geometry-optimized Hf2ZnAg2 structure, as listed in Alexandria via LeMat-Bulk.

total DFT energy (no corrections) = -5.0925 eV/atom
relative energy among the computed polymorphs = 155.8 meV per atom

abc: 8.1514 8.1514 3.0803
angles: 90.00 90.00 90.00
Closest atoms and distances in Å follow each position.
Atoms (fractional coordinates):
Zn  0.0000  0.0000  0.0000  4 Hf 3.02, 2 Zn 3.08
Zn  0.5000  0.5000  0.0000  4 Hf 3.02, 2 Zn 3.08
Hf  0.3286  0.8286  0.0000  6 Ag 2.80-2.89, 2 Zn 3.02, 2 Hf 3.08
Hf  0.8286  0.6714  0.0000  6 Ag 2.80-2.89, 2 Zn 3.02, 2 Hf 3.08
Hf  0.6714  0.1714  0.0000  6 Ag 2.80-2.89, 2 Zn 3.02, 2 Hf 3.08
Hf  0.1714  0.3286  0.0000  6 Ag 2.80-2.89, 2 Zn 3.02, 2 Hf 3.08
Ag  0.1255  0.6255  0.5000  6 Hf 2.80-2.89, 3 Ag 2.89-3.08
Ag  0.6255  0.8745  0.5000  6 Hf 2.80-2.89, 3 Ag 2.89-3.08
Ag  0.8745  0.3745  0.5000  6 Hf 2.80-2.89, 3 Ag 2.89-3.08
Ag  0.3745  0.1255  0.5000  6 Hf 2.80-2.89, 3 Ag 2.89-3.08

=====

No. 11
First-principles (PBE) data for a geometry-optimized Pa2CrWN6 structure, as listed in Alexandria via LeMat-Bulk.

total DFT energy (no corrections) = -10.0224 eV/atom

abc: 4.6449 5.3207 5.3207
angles: 90.00 90.00 90.00
Closest atoms and distances in Å follow each position.
Atoms (fractional coordinates):
Pa  0.0000  0.5000  0.0000  4 N 2.28
Pa  0.0000  0.0000  0.5000  4 N 2.28
Cr  0.5862  0.5000  0.5000  5 N 1.80-1.98
W  0.5834  0.0000  0.0000  5 N 1.85-2.00
N  0.7231  0.2510  0.2510  1 Cr 1.98, 1 W 2.00
N  0.7231  0.2510  0.7490  1 Cr 1.98, 1 W 2.00
N  0.1995  0.5000  0.5000  1 Cr 1.80
N  0.1852  0.0000  0.0000  1 W 1.85
N  0.7231  0.7490  0.7490  1 Cr 1.98, 1 W 2.00
N  0.7231  0.7490  0.2510  1 Cr 1.98, 1 W 2.00

=====

No. 12
First-principles (PBE) data for a geometry-optimized LiTb3Pt2 structure, as listed in Alexandria via LeMat-Bulk.

total DFT energy (no corrections) = -5.5170 eV/atom

abc: 4.9517 4.9517 12.5224
angles: 90.00 90.00 120.00
Closest atoms and distances in Å follow each position.
Atoms (fractional coordinates):
Li  0.3333  0.6667  0.6712  8 Tb 3.06-3.16, 3 Pt 3.32
Li  0.6667  0.3333  0.3288  8 Tb 3.06-3.16, 3 Pt 3.32
Tb  0.3333  0.6667  0.4201  4 Pt 2.83-3.03, 4 Li 3.08-3.14
Tb  0.6667  0.3333  0.0765  6 Pt 3.02-3.22, 1 Li 3.16
Tb  0.0000  0.0000  0.7582  5 Pt 2.92-3.23, 3 Li 3.06
Tb  0.0000  0.0000  0.2418  5 Pt 2.92-3.23, 3 Li 3.06
Tb  0.3333  0.6667  0.9235  6 Pt 3.02-3.22, 1 Li 3.16
Tb  0.6667  0.3333  0.5799  4 Pt 2.83-3.03, 4 Li 3.08-3.14
Pt  0.0000  0.0000  0.5000  8 Tb 3.03-3.23
Pt  0.3333  0.6667  0.1943  4 Tb 2.83-2.92
Pt  0.6667  0.3333  0.8057  4 Tb 2.83-2.92
Pt  0.0000  0.0000  0.0000  8 Tb 3.02-3.03